# 1
! Li2Pd3Au2 PBE-GGA optimized geometry; values from VASP
! **Density**: 11.1 Mg/m³
! **ΔH_f (0 K)**: -34.3 kJ/mol of atoms
! **Magnetic moment**: 0.000 μB per atom
! **Total energy**: -28.5 eV per cell
&SYSTEM
  ibrav = 0, nat = 7, ntyp = 3
/
ATOMIC_SPECIES
Li 6.94 Li.upf
Pd 106.42 Pd.upf
Au 196.97 Au.upf
ATOMIC_POSITIONS crystal
Li 0.139 0.277 0.582
Li 0.861 0.723 0.418
Pd 0.287 0.574 0.148
Pd 0.000 0.000 0.000
Pd 0.713 0.426 0.852
Au 0.577 0.155 0.293
Au 0.423 0.845 0.707
CELL_PARAMETERS angstrom
4.038 0.000 0.000
-2.019 4.347 0.674
0.000 -0.164 6.152

# 2
! Nd8Sn5Hg PBE-GGA optimized geometry; values from VASP
! **Density**: 7.3 Mg/m³
! **ΔH_f (0 K)**: -64.2 kJ/mol of atoms
! **Magnetic moment**: 0.000 μB per atom
! **Total energy**: -67.8 eV per cell
&SYSTEM
  ibrav = 0, nat = 14, ntyp = 3
/
ATOMIC_SPECIES
Nd 144.24 Nd.upf
Sn 118.71 Sn.upf
Hg 200.59 Hg.upf
ATOMIC_POSITIONS crystal
Nd 0.130 0.754 0.020
Nd 0.980 0.110 0.733
Nd 0.759 0.243 0.366
Nd 0.634 0.393 0.877
Nd 0.484 0.607 0.241
Nd 0.624 0.890 0.870
Nd 0.267 0.246 0.376
Nd 0.123 0.757 0.516
Sn 0.004 0.377 0.130
Sn 0.870 0.874 0.247
Sn 0.753 0.623 0.627
Sn 0.500 0.000 0.500
Sn 0.373 0.126 0.996
Hg 0.250 0.500 0.750
CELL_PARAMETERS angstrom
7.851 0.000 -2.696
-3.919 6.760 -2.802
-0.013 0.000 8.301

# 3
! Dy6Y2Ho5 PBE-GGA optimized geometry; values from VASP
! **Density**: 7.9 Mg/m³
! **ΔH_f (0 K)**: 9.4 kJ/mol of atoms
! **Magnetic moment**: 0.000 μB per atom
! **Total energy**: -124.3 eV per cell
&SYSTEM
  ibrav = 0, nat = 26, ntyp = 3
/
ATOMIC_SPECIES
Dy 162.50 Dy.upf
Y 88.91 Y.upf
Ho 164.93 Ho.upf
ATOMIC_POSITIONS crystal
Dy 0.000 0.082 0.367
Dy 0.000 0.918 0.633
Dy 0.000 0.582 0.133
Dy 0.000 0.418 0.867
Dy 0.500 0.327 0.133
Dy 0.500 0.673 0.867
Dy 0.500 0.827 0.367
Dy 0.500 0.173 0.633
Dy 0.000 0.558 0.420
Dy 0.000 0.442 0.580
Dy 0.000 0.058 0.080
Dy 0.000 0.942 0.920
Y 0.000 0.335 0.289
Y 0.000 0.665 0.711
Y 0.000 0.835 0.211
Y 0.000 0.165 0.789
Ho 0.500 0.301 0.449
Ho 0.500 0.699 0.551
Ho 0.500 0.801 0.051
Ho 0.500 0.199 0.949
Ho 0.500 0.594 0.275
Ho 0.500 0.406 0.725
Ho 0.500 0.094 0.225
Ho 0.500 0.906 0.775
Ho 0.500 0.500 0.000
Ho 0.500 0.000 0.500
CELL_PARAMETERS angstrom
3.564 0.000 0.000
0.000 11.614 0.000
0.000 0.000 20.108

# 4
! Rb2RuCI6 PBE-GGA optimized geometry; values from VASP
! **Formation energy without anion corrections**: 15 meV per atom
! **Density**: 4.8 Mg/m³
! **Magnetic moment**: 0.285 μB per atom
! **Total energy**: -29.6 eV per cell
&SYSTEM
  ibrav = 0, nat = 10, ntyp = 4
/
ATOMIC_SPECIES
I 126.90 I.upf
Ru 101.07 Ru.upf
C 12.01 C.upf
Rb 85.47 Rb.upf
ATOMIC_POSITIONS crystal
I 0.222 0.222 0.556
I 0.778 0.778 0.444
I 0.258 0.258 0.000
I 0.742 0.742 0.000
I 0.742 0.258 0.000
I 0.258 0.742 0.000
Ru 0.000 0.000 0.000
C 0.500 0.500 0.000
Rb 0.750 0.250 0.500
Rb 0.250 0.750 0.500
CELL_PARAMETERS angstrom
-4.711 0.583 -5.998
-6.009 0.116 4.731
-4.998 6.456 -0.324

# 5
! NbSn3Ir PBE-GGA optimized geometry; values from VASP
! **Density**: 7.2 Mg/m³
! **ΔH_f (0 K)**: 118.9 kJ/mol of atoms
! **Magnetic moment**: 0.657 μB per atom
! **Total energy**: -24.8 eV per cell
&SYSTEM
  ibrav = 0, nat = 5, ntyp = 3
/
ATOMIC_SPECIES
Nb 92.91 Nb.upf
Ir 192.22 Ir.upf
Sn 118.71 Sn.upf
ATOMIC_POSITIONS crystal
Nb 0.000 0.000 0.000
Ir 0.500 0.500 0.500
Sn 0.000 0.500 0.000
Sn 0.000 0.000 0.500
Sn 0.500 0.000 0.000
CELL_PARAMETERS angstrom
5.293 0.000 0.000
0.000 5.293 0.000
0.000 0.000 5.293

# 6
! AcRhN PBE-GGA optimized geometry; values from VASP
! **Formation energy without anion corrections**: -270 meV per atom
! **Density**: 10.6 Mg/m³
! **Magnetic moment**: 0.000 μB per atom
! **Total energy**: -20.6 eV per cell
&SYSTEM
  ibrav = 0, nat = 3, ntyp = 3
/
ATOMIC_SPECIES
Ac 227.00 Ac.upf
Rh 102.91 Rh.upf
N 14.01 N.upf
ATOMIC_POSITIONS crystal
Ac 0.701 0.667 0.333
Rh 0.189 0.333 0.667
N 0.110 0.000 0.000
CELL_PARAMETERS angstrom
-2.919 0.029 2.813
-2.697 -0.541 -2.794
1.656 -3.093 1.751

# 7
! Nd5SmHo6 PBE-GGA optimized geometry; values from VASP
! **Density**: 7.9 Mg/m³
! **ΔH_f (0 K)**: 1.2 kJ/mol of atoms
! **Magnetic moment**: 0.000 μB per atom
! **Total energy**: -55.9 eV per cell
&SYSTEM
  ibrav = 0, nat = 12, ntyp = 3
/
ATOMIC_SPECIES
Nd 144.24 Nd.upf
Sm 150.36 Sm.upf
Ho 164.93 Ho.upf
ATOMIC_POSITIONS crystal
Nd 0.500 0.167 0.667
Nd 0.000 0.333 0.333
Nd 0.500 0.500 0.000
Nd 0.000 0.667 0.667
Nd 0.500 0.833 0.333
Sm 0.000 0.000 0.000
Ho 0.750 0.083 0.333
Ho 0.250 0.584 0.333
Ho 0.250 0.250 0.000
Ho 0.750 0.750 0.000
Ho 0.750 0.416 0.667
Ho 0.250 0.917 0.667
CELL_PARAMETERS angstrom
-2.207 -2.584 -11.314
2.453 -5.740 -0.314
-3.548 -4.987 1.258

# 8
! CaBePt PBE-GGA optimized geometry; values from VASP
! **Density**: 7.2 Mg/m³
! **ΔH_f (0 K)**: -59.5 kJ/mol of atoms
! **Magnetic moment**: 0.000 μB per atom
! **Total energy**: -27.2 eV per cell
&SYSTEM
  ibrav = 0, nat = 6, ntyp = 3
/
ATOMIC_SPECIES
Pt 195.08 Pt.upf
Be 9.01 Be.upf
Ca 40.08 Ca.upf
ATOMIC_POSITIONS crystal
Pt 0.093 0.093 0.187
Pt 0.907 0.907 0.813
Be 0.000 0.500 0.000
Be 0.500 0.000 0.000
Ca 0.671 0.671 0.342
Ca 0.329 0.329 0.658
CELL_PARAMETERS angstrom
3.880 0.000 0.000
0.000 3.880 0.000
-1.940 -1.940 7.465